Density functional theory data (PBE-GGA) for CrCo after structural relaxation.

The crystal system is tetragonal. As for the magnetization: 0.00 μB/cell. The calculation puts the raw total energy at -7.619 eV/atom. The value obtained for the formation energy from the elements is 0.75 eV per atom.

It has space group P4_2/mnm (No. 136), with a = 4.683 Å, b = 4.683 Å, c = 4.418 Å, α = 90.00°, β = 90.00° and γ = 90.00°. The distinct sites, in fractional coordinates, are Cr at (0.176, 0.176, 0.000) and Co at (0.182, 0.182, 0.500).